[1]
# CrCuOs2 (PBEsol, relaxed)
# E: -37.854 eV/cell
# Calculated formation energy: 1.15 eV per formula unit
# Crystal system: monoclinic
data_CrCuOs2
_chemical_formula_sum 'Cr1 Cu1 Os2'
_space_group_name_H-M_alt 'P 1'
_space_group_IT_number 1
_cell_length_a 4.6208
_cell_length_b 4.6208
_cell_length_c 4.4304
_cell_angle_alpha 100.21
_cell_angle_beta 100.21
_cell_angle_gamma 33.61
loop_
_space_group_symop_operation_xyz
'x,y,z'
loop_
_atom_site_label
_atom_site_type_symbol
_atom_site_fract_x
_atom_site_fract_y
_atom_site_fract_z
Cr1 Cr 0.0000 0.0000 0.0000
Cu1 Cu 0.2467 0.2467 0.7542
Os1 Os 0.4921 0.4921 0.4894
Os2 Os 0.7456 0.7456 0.2505


[2]
# AlOs (PBEsol, relaxed)
# E: -14.695 eV/cell
# Calculated formation energy: 1.61 eV per formula unit
# Crystal system: cubic
data_AlOs
_chemical_formula_sum 'Al1 Os1'
_space_group_name_H-M_alt 'P 1'
_space_group_IT_number 1
_cell_length_a 3.5265
_cell_length_b 3.5265
_cell_length_c 3.5265
_cell_angle_alpha 60.00
_cell_angle_beta 60.00
_cell_angle_gamma 60.00
loop_
_space_group_symop_operation_xyz
'x,y,z'
loop_
_atom_site_label
_atom_site_type_symbol
_atom_site_fract_x
_atom_site_fract_y
_atom_site_fract_z
Al1 Al 0.0000 0.0000 0.0000
Os1 Os 0.5000 0.5000 0.5000


[3]
# CaAgO2 (PBEsol, relaxed)
# E: -22.181 eV/cell
# Crystal system: tetragonal
# Formation energy (no corrections): -1560 meV/atom
data_CaAgO2
_chemical_formula_sum 'Ca1 Ag1 O2'
_space_group_name_H-M_alt 'P 1'
_space_group_IT_number 1
_cell_length_a 3.3210
_cell_length_b 3.3210
_cell_length_c 4.6160
_cell_angle_alpha 90.00
_cell_angle_beta 90.00
_cell_angle_gamma 90.00
loop_
_space_group_symop_operation_xyz
'x,y,z'
loop_
_atom_site_label
_atom_site_type_symbol
_atom_site_fract_x
_atom_site_fract_y
_atom_site_fract_z
Ca1 Ca 0.0000 0.0000 0.0000
Ag1 Ag 0.5000 0.5000 0.5000
O1 O 0.0000 0.0000 0.5000
O2 O 0.5000 0.5000 0.0000


[4]
# Zr2NiP (PBEsol, relaxed)
# E: -32.679 eV/cell
# Calculated formation energy: -2.55 eV per formula unit
# Crystal system: tetragonal
data_Zr2NiP
_chemical_formula_sum 'Zr2 Ni1 P1'
_space_group_name_H-M_alt 'P 1'
_space_group_IT_number 1
_cell_length_a 5.3251
_cell_length_b 5.3251
_cell_length_c 5.3251
_cell_angle_alpha 138.97
_cell_angle_beta 138.97
_cell_angle_gamma 59.43
loop_
_space_group_symop_operation_xyz
'x,y,z'
loop_
_atom_site_label
_atom_site_type_symbol
_atom_site_fract_x
_atom_site_fract_y
_atom_site_fract_z
Zr1 Zr 0.0000 0.0000 0.0000
Zr2 Zr 0.7500 0.2500 0.5000
Ni1 Ni 0.5000 0.5000 0.0000
P1 P 0.2500 0.7500 0.5000


[5]
# CuTcPt2 (PBEsol, relaxed)
# E: -30.334 eV/cell
# Calculated formation energy: -0.81 eV per formula unit
# Crystal system: tetragonal
data_CuTcPt2
_chemical_formula_sum 'Cu1 Tc1 Pt2'
_space_group_name_H-M_alt 'P 1'
_space_group_IT_number 1
_cell_length_a 2.7160
_cell_length_b 2.7160
_cell_length_c 7.4562
_cell_angle_alpha 90.00
_cell_angle_beta 90.00
_cell_angle_gamma 90.00
loop_
_space_group_symop_operation_xyz
'x,y,z'
loop_
_atom_site_label
_atom_site_type_symbol
_atom_site_fract_x
_atom_site_fract_y
_atom_site_fract_z
Cu1 Cu 0.0000 0.0000 0.0000
Tc1 Tc 0.0000 0.0000 0.5000
Pt1 Pt 0.5000 0.5000 0.2468
Pt2 Pt 0.5000 0.5000 0.7532


[6]
# Zn2FeOs (PBEsol, relaxed)
# E: -23.590 eV/cell
# Calculated formation energy: 0.75 eV per formula unit
# Crystal system: orthorhombic
data_Zn2FeOs
_chemical_formula_sum 'Zn2 Fe1 Os1'
_space_group_name_H-M_alt 'P 1'
_space_group_IT_number 1
_cell_length_a 2.6134
_cell_length_b 2.6134
_cell_length_c 8.6110
_cell_angle_alpha 90.00
_cell_angle_beta 90.00
_cell_angle_gamma 115.56
loop_
_space_group_symop_operation_xyz
'x,y,z'
loop_
_atom_site_label
_atom_site_type_symbol
_atom_site_fract_x
_atom_site_fract_y
_atom_site_fract_z
Zn1 Zn 0.0000 0.0000 0.0000
Zn2 Zn 0.5000 0.5000 0.2592
Fe1 Fe 0.0000 0.0000 0.4995
Os1 Os 0.5000 0.5000 0.7379


[7]
# Ca2PtBr (PBEsol, relaxed)
# E: -17.338 eV/cell
# Crystal system: orthorhombic
# Formation energy (no corrections): -1059 meV/atom
data_Ca2PtBr
_chemical_formula_sum 'Ca2 Pt1 Br1'
_space_group_name_H-M_alt 'P 1'
_space_group_IT_number 1
_cell_length_a 8.0100
_cell_length_b 8.0100
_cell_length_c 8.0100
_cell_angle_alpha 153.05
_cell_angle_beta 152.94
_cell_angle_gamma 38.57
loop_
_space_group_symop_operation_xyz
'x,y,z'
loop_
_atom_site_label
_atom_site_type_symbol
_atom_site_fract_x
_atom_site_fract_y
_atom_site_fract_z
Ca1 Ca 0.0000 0.0000 0.0000
Ca2 Ca 0.7129 0.2129 0.5000
Pt1 Pt 0.1357 0.6357 0.5000
Br1 Br 0.3881 0.3881 0.0000


[8]
# Tc3Ge (PBEsol, relaxed)
# E: -38.546 eV/cell
# Calculated formation energy: 0.19 eV per formula unit
# Crystal system: cubic
data_Tc3Ge
_chemical_formula_sum 'Tc3 Ge1'
_space_group_name_H-M_alt 'P 1'
_space_group_IT_number 1
_cell_length_a 4.2853
_cell_length_b 4.2853
_cell_length_c 4.2853
_cell_angle_alpha 60.00
_cell_angle_beta 60.00
_cell_angle_gamma 60.00
loop_
_space_group_symop_operation_xyz
'x,y,z'
loop_
_atom_site_label
_atom_site_type_symbol
_atom_site_fract_x
_atom_site_fract_y
_atom_site_fract_z
Tc1 Tc 0.0000 0.0000 0.0000
Tc2 Tc 0.2500 0.2500 0.2500
Tc3 Tc 0.7500 0.7500 0.7500
Ge1 Ge 0.5000 0.5000 0.5000


[9]
# ScAg4Ir (PBEsol, relaxed)
# E: -28.980 eV/cell
# Calculated formation energy: 0.69 eV per formula unit
# Crystal system: cubic
data_ScAg4Ir
_chemical_formula_sum 'Sc1 Ag4 Ir1'
_space_group_name_H-M_alt 'P 1'
_space_group_IT_number 1
_cell_length_a 5.2482
_cell_length_b 5.2482
_cell_length_c 5.2482
_cell_angle_alpha 60.00
_cell_angle_beta 60.00
_cell_angle_gamma 60.00
loop_
_space_group_symop_operation_xyz
'x,y,z'
loop_
_atom_site_label
_atom_site_type_symbol
_atom_site_fract_x
_atom_site_fract_y
_atom_site_fract_z
Sc1 Sc 0.0000 0.0000 0.0000
Ag1 Ag 0.1258 0.6247 0.6247
Ag2 Ag 0.6247 0.1258 0.6247
Ag3 Ag 0.6247 0.6247 0.1258
Ag4 Ag 0.6247 0.6247 0.6247
Ir1 Ir 0.2500 0.2500 0.2500


[10]
# TaBrN2O (PBEsol, relaxed)
# E: -36.669 eV/cell
# Crystal system: tetragonal
# Formation energy (no corrections): 11 meV/atom
data_TaBrN2O
_chemical_formula_sum 'Ta1 Br1 N2 O1'
_space_group_name_H-M_alt 'P 1'
_space_group_IT_number 1
_cell_length_a 4.1757
_cell_length_b 4.1757
_cell_length_c 3.8422
_cell_angle_alpha 90.00
_cell_angle_beta 90.00
_cell_angle_gamma 90.00
loop_
_space_group_symop_operation_xyz
'x,y,z'
loop_
_atom_site_label
_atom_site_type_symbol
_atom_site_fract_x
_atom_site_fract_y
_atom_site_fract_z
Ta1 Ta 0.0000 0.0000 0.0000
Br1 Br 0.5000 0.5000 0.5000
N1 N 0.0000 0.5000 0.0000
N2 N 0.5000 0.0000 0.0000
O1 O 0.0000 0.0000 0.5000


[11]
# SrInSb (PBEsol, relaxed)
# E: -11.169 eV/cell
# Crystal system: trigonal
# Formation energy (no corrections): -596 meV/atom
data_SrInSb
_chemical_formula_sum 'Sr1 In1 Sb1'
_space_group_name_H-M_alt 'P 1'
_space_group_IT_number 1
_cell_length_a 4.5841
_cell_length_b 4.5841
_cell_length_c 5.3364
_cell_angle_alpha 90.00
_cell_angle_beta 90.00
_cell_angle_gamma 120.00
loop_
_space_group_symop_operation_xyz
'x,y,z'
loop_
_atom_site_label
_atom_site_type_symbol
_atom_site_fract_x
_atom_site_fract_y
_atom_site_fract_z
Sr1 Sr 0.0000 0.0000 0.0000
In1 In 0.3333 0.6667 0.6126
Sb1 Sb 0.6667 0.3333 0.3707


[12]
# Ti4Si4Ni (PBEsol, relaxed)
# E: -560.485 eV/cell
# Crystal system: orthorhombic
# Formation energy (no corrections): -847 meV/atom
data_Ti4Si4Ni
_chemical_formula_sum 'Ti32 Si32 Ni8'
_space_group_name_H-M_alt 'P 1'
_space_group_IT_number 1
_cell_length_a 15.5184
_cell_length_b 5.0431
_cell_length_c 12.6672
_cell_angle_alpha 90.00
_cell_angle_beta 90.00
_cell_angle_gamma 90.00
loop_
_space_group_symop_operation_xyz
'x,y,z'
loop_
_atom_site_label
_atom_site_type_symbol
_atom_site_fract_x
_atom_site_fract_y
_atom_site_fract_z
Ti1 Ti 0.0376 0.2500 0.1503
Ti2 Ti 0.0533 0.2500 0.5308
Ti3 Ti 0.0534 0.2500 0.7636
Ti4 Ti 0.1342 0.0036 0.9573
Ti5 Ti 0.1342 0.4964 0.9573
Ti6 Ti 0.1486 0.7500 0.1816
Ti7 Ti 0.1794 0.7500 0.4564
Ti8 Ti 0.2102 0.2500 0.3203
Ti9 Ti 0.2898 0.7500 0.8203
Ti10 Ti 0.3206 0.2500 0.9564
Ti11 Ti 0.3514 0.2500 0.6816
Ti12 Ti 0.3658 0.5036 0.4573
Ti13 Ti 0.3658 0.9964 0.4573
Ti14 Ti 0.4467 0.7500 0.0308
Ti15 Ti 0.4466 0.7500 0.2636
Ti16 Ti 0.4624 0.7500 0.6503
Ti17 Ti 0.5376 0.2500 0.3497
Ti18 Ti 0.5534 0.2500 0.7364
Ti19 Ti 0.5533 0.2500 0.9692
Ti20 Ti 0.6342 0.0036 0.5427
Ti21 Ti 0.6342 0.4964 0.5427
Ti22 Ti 0.6486 0.7500 0.3184
Ti23 Ti 0.6794 0.7500 0.0436
Ti24 Ti 0.7102 0.2500 0.1797
Ti25 Ti 0.7898 0.7500 0.6797
Ti26 Ti 0.8206 0.2500 0.5436
Ti27 Ti 0.8514 0.2500 0.8184
Ti28 Ti 0.8658 0.5036 0.0427
Ti29 Ti 0.8658 0.9964 0.0427
Ti30 Ti 0.9466 0.7500 0.2364
Ti31 Ti 0.9467 0.7500 0.4692
Ti32 Ti 0.9624 0.7500 0.8497
Si1 Si 0.0142 0.7500 0.0554
Si2 Si 0.0654 0.5040 0.3398
Si3 Si 0.0654 0.9960 0.3398
Si4 Si 0.0678 0.7500 0.6098
Si5 Si 0.1200 0.7500 0.7894
Si6 Si 0.1982 0.2500 0.1154
Si7 Si 0.2167 0.2500 0.8064
Si8 Si 0.2292 0.2500 0.5181
Si9 Si 0.2708 0.7500 0.0181
Si10 Si 0.2833 0.7500 0.3064
Si11 Si 0.3018 0.7500 0.6154
Si12 Si 0.3800 0.2500 0.2894
Si13 Si 0.4322 0.2500 0.1098
Si14 Si 0.4346 0.0040 0.8398
Si15 Si 0.4346 0.4960 0.8398
Si16 Si 0.4858 0.2500 0.5554
Si17 Si 0.5142 0.7500 0.4446
Si18 Si 0.5654 0.5040 0.1602
Si19 Si 0.5654 0.9960 0.1602
Si20 Si 0.5678 0.7500 0.8902
Si21 Si 0.6200 0.7500 0.7106
Si22 Si 0.6982 0.2500 0.3846
Si23 Si 0.7167 0.2500 0.6936
Si24 Si 0.7292 0.2500 0.9819
Si25 Si 0.7708 0.7500 0.4819
Si26 Si 0.7833 0.7500 0.1936
Si27 Si 0.8018 0.7500 0.8846
Si28 Si 0.8800 0.2500 0.2106
Si29 Si 0.9322 0.2500 0.3902
Si30 Si 0.9346 0.0040 0.6602
Si31 Si 0.9346 0.4960 0.6602
Si32 Si 0.9858 0.2500 0.9446
Ni1 Ni 0.1841 0.0029 0.6582
Ni2 Ni 0.1841 0.4971 0.6582
Ni3 Ni 0.3159 0.5029 0.1582
Ni4 Ni 0.3159 0.9971 0.1582
Ni5 Ni 0.6841 0.0029 0.8418
Ni6 Ni 0.6841 0.4971 0.8418
Ni7 Ni 0.8159 0.5029 0.3418
Ni8 Ni 0.8159 0.9971 0.3418


[13]
# Ta2ZnOs (PBEsol, relaxed)
# E: -39.283 eV/cell
# Calculated formation energy: -0.38 eV per formula unit
# Crystal system: orthorhombic
data_Ta2ZnOs
_chemical_formula_sum 'Ta2 Zn1 Os1'
_space_group_name_H-M_alt 'P 1'
_space_group_IT_number 1
_cell_length_a 4.6996
_cell_length_b 4.6996
_cell_length_c 2.9591
_cell_angle_alpha 90.00
_cell_angle_beta 90.00
_cell_angle_gamma 107.45
loop_
_space_group_symop_operation_xyz
'x,y,z'
loop_
_atom_site_label
_atom_site_type_symbol
_atom_site_fract_x
_atom_site_fract_y
_atom_site_fract_z
Ta1 Ta 0.0000 0.5000 0.0000
Ta2 Ta 0.5000 0.0000 0.0000
Zn1 Zn 0.0000 0.0000 0.5000
Os1 Os 0.5000 0.5000 0.5000


[14]
# Hf2MnOsRu (PBEsol, relaxed)
# E: -47.808 eV/cell
# Calculated formation energy: 5.35 eV per formula unit
# Crystal system: tetragonal
data_Hf2MnOsRu
_chemical_formula_sum 'Hf2 Mn1 Os1 Ru1'
_space_group_name_H-M_alt 'P 1'
_space_group_IT_number 1
_cell_length_a 4.8314
_cell_length_b 4.8314
_cell_length_c 4.1709
_cell_angle_alpha 90.00
_cell_angle_beta 90.00
_cell_angle_gamma 90.00
loop_
_space_group_symop_operation_xyz
'x,y,z'
loop_
_atom_site_label
_atom_site_type_symbol
_atom_site_fract_x
_atom_site_fract_y
_atom_site_fract_z
Hf1 Hf 0.0000 0.5000 0.0000
Hf2 Hf 0.5000 0.0000 0.0000
Mn1 Mn 0.0000 0.0000 0.5000
Os1 Os 0.5000 0.5000 0.5000
Ru1 Ru 0.0000 0.0000 0.0000


[15]
# Te2AsPI (PBEsol, relaxed)
# E: -15.065 eV/cell
# Crystal system: tetragonal
# Formation energy (no corrections): 930 meV/atom
data_Te2AsPI
_chemical_formula_sum 'Te2 As1 P1 I1'
_space_group_name_H-M_alt 'P 1'
_space_group_IT_number 1
_cell_length_a 5.3685
_cell_length_b 5.3685
_cell_length_c 5.4361
_cell_angle_alpha 90.00
_cell_angle_beta 90.00
_cell_angle_gamma 90.00
loop_
_space_group_symop_operation_xyz
'x,y,z'
loop_
_atom_site_label
_atom_site_type_symbol
_atom_site_fract_x
_atom_site_fract_y
_atom_site_fract_z
Te1 Te 0.0000 0.5000 0.0000
Te2 Te 0.5000 0.0000 0.0000
As1 As 0.0000 0.0000 0.0000
P1 P 0.5000 0.5000 0.5000
I1 I 0.0000 0.0000 0.5000


[16]
# InFeTc (PBEsol, relaxed)
# E: -22.039 eV/cell
# Calculated formation energy: 1.17 eV per formula unit
# Crystal system: trigonal
data_InFeTc
_chemical_formula_sum 'In1 Fe1 Tc1'
_space_group_name_H-M_alt 'P 1'
_space_group_IT_number 1
_cell_length_a 4.2636
_cell_length_b 4.2636
_cell_length_c 2.8589
_cell_angle_alpha 90.00
_cell_angle_beta 90.00
_cell_angle_gamma 120.00
loop_
_space_group_symop_operation_xyz
'x,y,z'
loop_
_atom_site_label
_atom_site_type_symbol
_atom_site_fract_x
_atom_site_fract_y
_atom_site_fract_z
In1 In 0.0000 0.0000 0.0000
Fe1 Fe 0.6667 0.3333 0.4129
Tc1 Tc 0.3333 0.6667 0.5308


[17]
# KMnNi (PBEsol, relaxed)
# E: -11.099 eV/cell
# Calculated formation energy: 5.95 eV per formula unit
# Crystal system: cubic
data_KMnNi
_chemical_formula_sum 'K1 Mn1 Ni1'
_space_group_name_H-M_alt 'P 1'
_space_group_IT_number 1
_cell_length_a 4.6542
_cell_length_b 4.6542
_cell_length_c 4.6542
_cell_angle_alpha 60.00
_cell_angle_beta 60.00
_cell_angle_gamma 60.00
loop_
_space_group_symop_operation_xyz
'x,y,z'
loop_
_atom_site_label
_atom_site_type_symbol
_atom_site_fract_x
_atom_site_fract_y
_atom_site_fract_z
K1 K 0.0000 0.0000 0.0000
Mn1 Mn 0.2500 0.2500 0.2500
Ni1 Ni 0.7500 0.7500 0.7500


[18]
# Zr2Al3Zn (PBEsol, relaxed)
# E: -35.199 eV/cell
# Calculated formation energy: -3.16 eV per formula unit
# Crystal system: trigonal
data_Zr2Al3Zn
_chemical_formula_sum 'Zr2 Al3 Zn1'
_space_group_name_H-M_alt 'P 1'
_space_group_IT_number 1
_cell_length_a 5.2044
_cell_length_b 5.2044
_cell_length_c 5.2044
_cell_angle_alpha 60.91
_cell_angle_beta 60.91
_cell_angle_gamma 60.91
loop_
_space_group_symop_operation_xyz
'x,y,z'
loop_
_atom_site_label
_atom_site_type_symbol
_atom_site_fract_x
_atom_site_fract_y
_atom_site_fract_z
Zr1 Zr 0.1242 0.1242 0.1242
Zr2 Zr 0.8758 0.8758 0.8758
Al1 Al 0.0000 0.5000 0.5000
Al2 Al 0.5000 0.0000 0.5000
Al3 Al 0.5000 0.5000 0.0000
Zn1 Zn 0.5000 0.5000 0.5000


[19]
# In2SiBr (PBEsol, relaxed)
# E: -13.319 eV/cell
# Crystal system: orthorhombic
# Formation energy (no corrections): 66 meV/atom
data_In2SiBr
_chemical_formula_sum 'In2 Si1 Br1'
_space_group_name_H-M_alt 'P 1'
_space_group_IT_number 1
_cell_length_a 3.4854
_cell_length_b 3.4854
_cell_length_c 7.6920
_cell_angle_alpha 90.00
_cell_angle_beta 90.00
_cell_angle_gamma 94.76
loop_
_space_group_symop_operation_xyz
'x,y,z'
loop_
_atom_site_label
_atom_site_type_symbol
_atom_site_fract_x
_atom_site_fract_y
_atom_site_fract_z
In1 In 0.0000 0.0000 0.2193
In2 In 0.0000 0.0000 0.7807
Si1 Si 0.5000 0.5000 0.0000
Br1 Br 0.5000 0.5000 0.5000


[20]
# CuPRu2 (PBEsol, relaxed)
# E: -30.045 eV/cell
# Calculated formation energy: 0.42 eV per formula unit
# Crystal system: orthorhombic
data_CuPRu2
_chemical_formula_sum 'Cu1 P1 Ru2'
_space_group_name_H-M_alt 'P 1'
_space_group_IT_number 1
_cell_length_a 2.7597
_cell_length_b 3.6135
_cell_length_c 5.0470
_cell_angle_alpha 90.00
_cell_angle_beta 90.00
_cell_angle_gamma 90.00
loop_
_space_group_symop_operation_xyz
'x,y,z'
loop_
_atom_site_label
_atom_site_type_symbol
_atom_site_fract_x
_atom_site_fract_y
_atom_site_fract_z
Cu1 Cu 0.0000 0.0000 0.0000
P1 P 0.5000 0.5000 0.2782
Ru1 Ru 0.0000 0.0000 0.4956
Ru2 Ru 0.5000 0.5000 0.7858


| no. | DOS(E_F) (states/eV per atom) | total magnetic moment (μB/f.u.) |
| --- | --- | --- |
| 1 | 1.063 | 0.20 |
| 2 | 1.457 | 0.00 |
| 3 | 0.302 | 0.00 |
| 4 | 0.902 | 0.00 |
| 5 | 0.386 | 0.00 |
| 6 | 0.619 | 2.35 |
| 7 | 0.442 | 0.00 |
| 8 | 1.188 | 0.02 |
| 9 | 0.748 | 0.00 |
| 10 | 0.567 | 0.00 |
| 11 | 0.035 | 0.00 |
| 12 | 0.623 | 0.00 |
| 13 | 0.609 | 0.00 |
| 14 | 1.018 | 1.70 |
| 15 | 0.788 | 1.21 |
| 16 | 1.242 | 2.07 |
| 17 | 0.781 | 4.66 |
| 18 | 0.464 | 0.00 |
| 19 | 0.488 | 0.00 |
| 20 | 0.952 | 0.00 |